# 1
VASP calculation (GGA-PBE) on crystalline Na2IrAu at its relaxed geometry.

Unit cell a=6.6652 b=6.6652 c=6.6652 alpha=90.00 beta=90.00 gamma=90.00
Closest atoms and distances in Å follow each position.
Space group Fm-3m (No. 225)
Asymmetric unit:
Na: 0.2500 0.2500 0.2500 x8  4 Ir 2.89, 4 Au 2.89
Ir: 0.0000 0.0000 0.0000 x4  8 Na 2.89
Au: 0.0000 0.0000 0.5000 x4  8 Na 2.89

Calculated values
Distance to the lowest polymorph of the same formula, eV/atom: 0.016
ΔH_f (0 K), eV/atom: 0.545

---

# 2
VASP calculation (GGA-PBE) on crystalline NaNiIr2Au at its relaxed geometry.

Unit cell a=4.5710 b=4.5710 c=4.5634 alpha=90.00 beta=90.00 gamma=90.00
Closest atoms and distances in Å follow each position.
Space group P4/mmm (No. 123)
Asymmetric unit:
Na: 0.0000 0.0000 0.0000 x1  2 Au 2.28, 4 Ir 2.29
Ni: 0.5000 0.5000 0.5000 x1  8 Ir 3.23, 4 Au 3.23
Ir: 0.0000 0.5000 0.0000 x2  2 Na 2.29
Au: 0.0000 0.0000 0.5000 x1  2 Na 2.28

Calculated values
ΔH_f (0 K), eV/atom: 2.219

---

# 3
VASP calculation (GGA-PBE) on crystalline NaIrAuO2 at its relaxed geometry.

Unit cell a=3.9904 b=3.9904 c=5.0897 alpha=90.00 beta=90.00 gamma=90.00
Closest atoms and distances in Å follow each position.
Space group P4/mmm (No. 123)
Asymmetric unit:
Na: 0.0000 0.0000 0.0000 x1  4 O 2.00
Ir: 0.0000 0.0000 0.5000 x1  2 Na 2.54, 4 Au 2.82
Au: 0.5000 0.5000 0.5000 x1  4 Ir 2.82
O: 0.0000 0.5000 0.0000 x2  2 Na 2.00

Calculated values
E_form (uncorrected), eV/atom: 1.413

---

# 4
VASP calculation (GGA-PBE) on crystalline Na4Ir3AuS8 at its relaxed geometry.

Unit cell a=13.1032 b=7.3309 c=7.4372 alpha=90.00 beta=121.24 gamma=90.00
Closest atoms and distances in Å follow each position.
Space group C2/m (No. 12)
Asymmetric unit:
Na: 0.0000 0.0000 0.0000 x2  6 S 2.64-2.89
Na: 0.0000 0.5000 0.0000 x2  6 S 2.88-3.18
Na: 0.2500 0.2500 0.0000 x4  4 S 2.82-2.86
Ir: 0.0000 0.0000 0.5000 x2  6 S 2.43-2.46
Ir: 0.2500 0.2500 0.5000 x4  6 S 2.38-2.43
Au: 0.0000 0.5000 0.5000 x2  4 S 2.42
S: 0.0378 0.2510 0.3294 x8  2 Ir 2.38-2.43, 1 Au 2.42
S: 0.2196 0.0000 0.6804 x4  3 Ir 2.42-2.46
S: 0.2325 0.0000 0.2714 x4  2 Ir 2.43, 1 Na 2.64

Calculated values
E_form (uncorrected), eV/atom: -0.574

---

# 5
VASP calculation (GGA-PBE) on crystalline NaSbIr2Au at its relaxed geometry.

Unit cell a=4.8579 b=4.8579 c=5.3166 alpha=90.00 beta=90.00 gamma=90.00
Closest atoms and distances in Å follow each position.
Space group P4/mmm (No. 123)
Asymmetric unit:
Na: 0.0000 0.0000 0.0000 x1  2 Sb 2.66
Sb: 0.0000 0.0000 0.5000 x1  4 Ir 2.43, 2 Na 2.66
Ir: 0.0000 0.5000 0.5000 x2  2 Sb 2.43
Au: 0.5000 0.5000 0.0000 x1  4 Na 3.44, 8 Ir 3.60

Calculated values
E_form (uncorrected), eV/atom: 1.157

---

# 6
VASP calculation (GGA-PBE) on crystalline NaTiIrAu2 at its relaxed geometry.

Unit cell a=5.1074 b=5.1074 c=4.5523 alpha=90.00 beta=90.00 gamma=90.00
Closest atoms and distances in Å follow each position.
Space group P4/mmm (No. 123)
Asymmetric unit:
Na: 0.0000 0.0000 0.0000 x1  8 Au 3.42, 4 Ir 3.61
Ti: 0.5000 0.5000 0.5000 x1  2 Ir 2.28
Ir: 0.5000 0.5000 0.0000 x1  2 Ti 2.28
Au: 0.0000 0.5000 0.5000 x2  2 Ti 2.55

Calculated values
ΔH_f (0 K), eV/atom: 0.396

---

# 7
VASP calculation (GGA-PBE) on crystalline Nb2Ir2Au at its relaxed geometry.

Unit cell a=7.6872 b=7.6872 c=2.9201 alpha=90.00 beta=90.00 gamma=90.00
Closest atoms and distances in Å follow each position.
Space group P4/mbm (No. 127)
Asymmetric unit:
Nb: 0.1643 0.3357 0.0000 x4  6 Ir 2.66-2.71, 2 Nb 2.92
Ir: 0.1313 0.6313 0.5000 x4  6 Nb 2.66-2.71, 3 Ir 2.85-2.92
Au: 0.0000 0.0000 0.5000 x2  2 Au 2.92, 4 Ir 3.01, 8 Nb 3.22

Calculated values
Distance to the lowest polymorph of the same formula, eV/atom: 0.000
ΔH_f (0 K), eV/atom: -0.369

---

# 8
VASP calculation (GGA-PBE) on crystalline Nb3IrAu at its relaxed geometry.

Unit cell a=4.8388 b=4.8388 c=4.8388 alpha=90.00 beta=90.00 gamma=90.00
Closest atoms and distances in Å follow each position.
Space group Pm-3m (No. 221)
Asymmetric unit:
Nb: 0.0000 0.0000 0.5000 x3  2 Ir 2.42
Ir: 0.0000 0.0000 0.0000 x1  6 Nb 2.42
Au: 0.5000 0.5000 0.5000 x1  12 Nb 3.42

Calculated values
Distance to the lowest polymorph of the same formula, eV/atom: 0.000
ΔH_f (0 K), eV/atom: 0.875

---

Number 1: DFT total energy -3.149 eV per atom. Number 2: DFT total energy -3.401 eV per atom. Number 3: DFT total energy -3.262 eV per atom. Number 4: DFT total energy -4.834 eV per atom. Number 5: DFT total energy -4.131 eV per atom. Number 6: DFT total energy -4.530 eV per atom. Number 7: DFT total energy -8.597 eV per atom. Number 8: DFT total energy -7.595 eV per atom.